(1)
An optimized crystal structure of Pm10HoEr6. Source: Alexandria, functional PBE-GGA.

As for the crystal system: trigonal. As for the energy relative to the elements: 127 meV per atom. The total energy comes out at -77.29 eV per cell. The value obtained for the calculated volume is 567.07 Å³ per cell. As for the space group: P-31m (162).

Unit cell a=6.863 b=9.768 c=9.768 alpha=120.00 beta=90.00 gamma=90.00
Positions (direct):
Pm  0.816  0.725  0.725
Pm  0.816  0.000  0.275
Pm  0.816  0.275  0.000
Pm  0.184  0.275  0.275
Pm  0.184  0.000  0.725
Pm  0.184  0.725  0.000
Pm  0.500  0.333  0.667
Pm  0.500  0.667  0.333
Pm  0.000  0.667  0.333
Pm  0.000  0.333  0.667
Ho  0.500  0.000  0.000
Er  0.690  0.370  0.370
Er  0.690  0.000  0.630
Er  0.690  0.630  0.000
Er  0.310  0.630  0.630
Er  0.310  0.000  0.370
Er  0.310  0.370  0.000

(2)
An optimized crystal structure of Pm4Ho2Er5. Source: Alexandria, functional PBE-GGA.

As for the crystal system: monoclinic. As for the energy relative to the elements: 107 meV per atom. The total energy comes out at -49.79 eV per cell. The value obtained for the calculated volume is 353.57 Å³ per cell. The energy above the most stable polymorph in this dataset is 0.000 eV per atom. As for the space group: C2/m (12).

Unit cell a=5.628 b=6.588 c=9.944 alpha=90.95 beta=106.44 gamma=90.00
Positions (direct):
Pm  0.305  0.927  0.611
Pm  0.979  0.713  0.958
Pm  0.695  0.073  0.389
Pm  0.021  0.287  0.042
Ho  0.402  0.445  0.803
Ho  0.598  0.555  0.197
Er  0.791  0.598  0.583
Er  0.209  0.402  0.417
Er  0.870  0.110  0.740
Er  0.500  0.000  0.000
Er  0.130  0.890  0.260

(3)
An optimized crystal structure of Pm8Ho4Er. Source: Alexandria, functional PBE-GGA.

As for the crystal system: cubic. As for the energy relative to the elements: 469 meV per atom. The total energy comes out at -54.78 eV per cell. The value obtained for the calculated volume is 480.21 Å³ per cell. As for the space group: Pm-3m (221).

Unit cell a=11.078 b=11.078 c=7.831 alpha=90.00 beta=135.02 gamma=120.00
Positions (direct):
Pm  0.518  0.759  0.278
Pm  0.482  0.241  0.722
Pm  0.481  0.241  0.241
Pm  0.000  0.241  0.759
Pm  0.519  0.759  0.759
Pm  0.000  0.759  0.759
Pm  0.000  0.241  0.241
Pm  0.000  0.759  0.241
Ho  0.000  0.000  0.000
Ho  0.000  0.500  0.000
Ho  0.500  0.500  0.000
Ho  0.500  0.000  0.000
Er  0.000  0.500  0.500

(4)
An optimized crystal structure of PmHo5Er3. Source: Alexandria, functional PBE-GGA.

As for the crystal system: orthorhombic. As for the energy relative to the elements: 56 meV per atom. The total energy comes out at -81.65 eV per cell. The value obtained for the calculated volume is 561.57 Å³ per cell. The energy above the most stable polymorph in this dataset is 0.000 eV per atom. As for the space group: Cmcm (63).

Unit cell a=9.638 b=9.649 c=6.970 alpha=90.02 beta=90.00 gamma=119.96
Positions (direct):
Pm  0.693  0.000  0.750
Pm  0.307  0.000  0.250
Ho  0.358  0.000  0.750
Ho  0.644  0.644  0.750
Ho  0.001  0.309  0.250
Ho  0.356  0.356  0.250
Ho  0.691  0.691  0.250
Ho  0.642  0.000  0.250
Ho  0.000  0.644  0.250
Ho  0.000  0.356  0.750
Ho  0.309  0.309  0.750
Ho  0.999  0.691  0.750
Er  0.000  0.000  0.000
Er  0.669  0.339  0.500
Er  0.000  0.000  0.500
Er  0.331  0.661  0.500
Er  0.669  0.339  0.000
Er  0.331  0.661  0.000

(5)
An optimized crystal structure of Pm6Ho6Er. Source: Alexandria, functional PBE-GGA.

As for the crystal system: hexagonal. As for the energy relative to the elements: 281 meV per atom. The total energy comes out at -56.88 eV per cell. The value obtained for the calculated volume is 443.46 Å³ per cell. As for the space group: P6/mmm (191).

Unit cell a=6.715 b=6.715 c=11.357 alpha=90.00 beta=90.00 gamma=120.00
Last column: magnetic moment on the atom in μB.
Positions (direct):
Pm  0.000  0.000  0.657  0.09
Pm  0.000  0.000  0.343  0.09
Pm  0.333  0.667  0.000  0.03
Pm  0.667  0.333  0.000  0.03
Pm  0.333  0.667  0.500  0.14
Pm  0.667  0.333  0.500  0.14
Ho  0.000  0.500  0.754  0.09
Ho  0.500  0.000  0.754  0.09
Ho  0.500  0.500  0.754  0.09
Ho  0.500  0.000  0.246  0.09
Ho  0.000  0.500  0.246  0.09
Ho  0.500  0.500  0.246  0.09
Er  0.000  0.000  0.000  0.04

(6)
An optimized crystal structure of PmHoEr4. Source: Alexandria, functional PBE-GGA.

As for the crystal system: orthorhombic. As for the energy relative to the elements: 77 meV per atom. The total energy comes out at -27.12 eV per cell. The value obtained for the calculated volume is 186.64 Å³ per cell. The energy above the most stable polymorph in this dataset is 0.022 eV per atom. As for the space group: Pmmm (47).

Unit cell a=3.451 b=6.569 c=9.673 alpha=90.00 beta=90.00 gamma=121.66
Positions (direct):
Pm  0.997  0.001  0.502
Ho  0.497  0.501  0.002
Er  0.997  0.501  0.671
Er  0.997  0.501  0.333
Er  0.497  0.001  0.167
Er  0.497  0.001  0.837

(7)
An optimized crystal structure of Pm3HoEr4. Source: Alexandria, functional PBE-GGA.

As for the crystal system: triclinic. As for the energy relative to the elements: 203 meV per atom. The total energy comes out at -35.46 eV per cell. The value obtained for the calculated volume is 263.98 Å³ per cell. The energy above the most stable polymorph in this dataset is 0.185 eV per atom. As for the space group: P-1 (2).

Unit cell a=3.602 b=5.382 c=13.986 alpha=79.12 beta=82.67 gamma=90.04
Positions (direct):
Er  0.901  0.397  0.201
Er  0.099  0.603  0.799
Er  0.781  0.280  0.439
Er  0.219  0.720  0.561
Ho  0.000  0.000  0.000
Pm  0.351  0.848  0.300
Pm  0.649  0.152  0.700
Pm  0.500  0.500  0.000

(8)
An optimized crystal structure of Pm7Ho2Er2. Source: Alexandria, functional PBE-GGA.

As for the crystal system: orthorhombic. As for the energy relative to the elements: 112 meV per atom. The total energy comes out at -50.30 eV per cell. The value obtained for the calculated volume is 369.32 Å³ per cell. The energy above the most stable polymorph in this dataset is 0.000 eV per atom. As for the space group: Imm2 (44).

Unit cell a=5.633 b=8.170 c=9.435 alpha=115.65 beta=107.37 gamma=90.00
Positions (direct):
Pm  0.135  0.053  0.270
Pm  0.133  0.459  0.267
Pm  0.500  0.920  0.000
Pm  0.336  0.459  0.673
Pm  0.664  0.787  0.327
Pm  0.865  0.783  0.730
Pm  0.867  0.192  0.733
Ho  0.299  0.921  0.598
Ho  0.701  0.323  0.402
Er  0.000  0.622  0.000
Er  0.500  0.335  0.000

(9)
An optimized crystal structure of Pm4HoEr8. Source: Alexandria, functional PBE-GGA.

As for the crystal system: trigonal. As for the energy relative to the elements: 218 meV per atom. The total energy comes out at -57.25 eV per cell. The value obtained for the calculated volume is 417.90 Å³ per cell. As for the space group: R-3m (166).

Unit cell a=7.320 b=7.320 c=9.948 alpha=90.00 beta=111.59 gamma=120.00
Positions (direct):
Pm  0.000  0.000  0.000
Pm  0.000  0.500  0.000
Pm  0.500  0.500  0.000
Pm  0.500  0.000  0.000
Ho  0.000  0.500  0.500
Er  0.568  0.784  0.351
Er  0.432  0.216  0.649
Er  0.500  0.250  0.309
Er  0.941  0.191  0.691
Er  0.500  0.750  0.691
Er  0.941  0.750  0.691
Er  0.059  0.250  0.309
Er  0.059  0.809  0.309

(10)
An optimized crystal structure of PmHo12Er5. Source: Alexandria, functional PBE-GGA.

As for the crystal system: monoclinic. As for the energy relative to the elements: 44 meV per atom. The total energy comes out at -81.71 eV per cell. The value obtained for the calculated volume is 558.30 Å³ per cell. As for the space group: C2/m (12).

Unit cell a=6.039 b=6.140 c=17.292 alpha=89.99 beta=89.97 gamma=60.54
Positions (direct):
Pm  0.000  0.000  0.000
Ho  0.830  0.000  0.336
Ho  0.170  0.000  0.664
Ho  0.668  0.000  0.835
Ho  0.332  0.000  0.165
Ho  0.336  0.666  0.834
Ho  0.998  0.666  0.166
Ho  0.002  0.334  0.834
Ho  0.664  0.334  0.166
Ho  0.503  0.333  0.664
Ho  0.836  0.667  0.664
Ho  0.164  0.333  0.336
Ho  0.497  0.667  0.336
Er  0.500  0.000  0.500
Er  0.166  0.667  0.500
Er  0.834  0.333  0.500
Er  0.667  0.666  0.000
Er  0.333  0.334  0.000

(11)
An optimized crystal structure of PmHo4Er4. Source: Alexandria, functional PBE-GGA.

As for the crystal system: monoclinic. As for the energy relative to the elements: 86 meV per atom. The total energy comes out at -81.08 eV per cell. The value obtained for the calculated volume is 565.06 Å³ per cell. As for the space group: C2/m (12).

Unit cell a=9.090 b=9.090 c=11.497 alpha=82.35 beta=82.35 gamma=139.81
Positions (direct):
Pm  0.058  0.058  0.719
Pm  0.942  0.942  0.281
Ho  0.143  0.857  0.500
Ho  0.186  0.814  0.000
Ho  0.524  0.808  0.834
Ho  0.192  0.476  0.166
Ho  0.808  0.524  0.834
Ho  0.476  0.192  0.166
Ho  0.814  0.186  0.000
Ho  0.857  0.143  0.500
Er  0.153  0.525  0.667
Er  0.475  0.847  0.333
Er  0.388  0.388  0.387
Er  0.280  0.280  0.946
Er  0.612  0.612  0.613
Er  0.720  0.720  0.054
Er  0.847  0.475  0.333
Er  0.525  0.153  0.667

(12)
An optimized crystal structure of PmHo5Er5. Source: Alexandria, functional PBE-GGA.

As for the crystal system: hexagonal. As for the energy relative to the elements: 330 meV per atom. The total energy comes out at -46.83 eV per cell. The value obtained for the calculated volume is 361.06 Å³ per cell. The energy above the most stable polymorph in this dataset is 0.187 eV per atom. As for the space group: P-6m2 (187).

Unit cell a=6.033 b=6.033 c=11.456 alpha=90.00 beta=90.00 gamma=120.00
Positions (direct):
Pm  0.333  0.667  0.000
Ho  0.335  0.168  0.500
Ho  0.000  0.000  0.264
Ho  0.832  0.665  0.500
Ho  0.832  0.168  0.500
Ho  0.000  0.000  0.736
Er  0.667  0.333  0.159
Er  0.667  0.333  0.841
Er  0.333  0.667  0.325
Er  0.333  0.667  0.675
Er  0.000  0.000  0.000

Q: The lowest energy relative to the elements belongs to which entry?
A: PmHo12Er5

Q: Among the records above, which one has the lowest calculated volume?
A: PmHoEr4

Q: energy relative to the elements of number 9 (Pm4HoEr8)?
A: 218 meV per atom

Q: What is the energy relative to the elements in the eighth record?
A: 112 meV per atom